# TaZn2Se PBE relaxed
data_TaZn2Se
_symmetry_space_group_name_H-M 'R -3 m'
_symmetry_Int_Tables_number 166
_symmetry_space_group_name_Hall '-R 3 2"'
_cell_length_a 3.0879
_cell_length_b 3.0879
_cell_length_c 25.5384
_cell_angle_alpha 90.00
_cell_angle_beta 90.00
_cell_angle_gamma 120.00
loop_
_atom_site_label
_atom_site_type_symbol
_atom_site_fract_x
_atom_site_fract_y
_atom_site_fract_z
Ta1 Ta 0.0000 0.0000 0.0000
Zn1 Zn 0.0000 0.0000 0.2470
Se1 Se 0.0000 0.0000 0.5000
# * V: 17.57 Å³ per atom
# * mass density: 9.2 g/cm³
# * ΔE_f (raw): 0.19 eV/atom
# * crystal system: trigonal